[1]
First-principles (PBE-GGA) data for crystalline CrHRh at its relaxed geometry, as listed in Alexandria via LeMat-Bulk.

Output
- magnetization (μB per formula unit) = 0.0
- crystal system = orthorhombic
- raw total energy (Ha/atom) = -0.2476

a b c (Å): 8.0162 3.5077 4.1437
angles (deg): 90.00 90.00 90.00
Space group Pnma (No. 62)
One atom of each set of equivalent atoms:
Cr: 0.0204 0.2500 0.1657 (multiplicity 4)
H: 0.1517 0.7500 0.5249 (multiplicity 4)
Rh: 0.2176 0.2500 0.6547 (multiplicity 4)

[2]
First-principles (PBE-GGA) data for crystalline LuCu2Au at its relaxed geometry, as listed in Alexandria via LeMat-Bulk.

Output
- magnetization (μB per formula unit) = 0.0
- crystal system = cubic
- raw total energy (Ha/atom) = -0.1600
- energy of formation (eV/f.u.) = -1.42

a b c (Å): 6.4308 6.4308 6.4308
angles (deg): 90.00 90.00 90.00
Space group Fm-3m (No. 225)
One atom of each set of equivalent atoms:
Lu: 0.0000 0.0000 0.0000 (multiplicity 4)
Cu: 0.2500 0.2500 0.2500 (multiplicity 8)
Au: 0.0000 0.0000 0.5000 (multiplicity 4)